*1*
# GeBiH3

Crystalline GeBiH3 at its relaxed geometry (PBE, Alexandria via LeMat-Bulk).

Output
**Total moment**: 0.0 μB per formula unit
**Fermi-level density of states**: 3.87 states/eV per cell
**V**: 14.77 Å³ per atom

abc: 4.1956 4.1956 4.1956
angles: 90.00 90.00 90.00
Closest atoms and distances in Å follow each position.
Positions (direct):
Ge (0.0000, 0.0000, 0.0000)  12 H 2.97
Bi (0.5000, 0.5000, 0.5000)  6 H 2.10
H (0.0000, 0.5000, 0.5000)  2 Bi 2.10
H (0.5000, 0.0000, 0.5000)  2 Bi 2.10
H (0.5000, 0.5000, 0.0000)  2 Bi 2.10



*2*
# GeBiH3

Crystalline GeBiH3 at its relaxed geometry (PBE, Alexandria via LeMat-Bulk).

Output
**Total moment**: 0.0 μB per formula unit
**Fermi-level density of states**: 2.23 states/eV per cell
**V**: 12.02 Å³ per atom

abc: 3.9172 3.9172 3.9172
angles: 90.00 90.00 90.00
Closest atoms and distances in Å follow each position.
Positions (direct):
Ge (0.0000, 0.0000, 0.0000)  6 H 1.96
Bi (0.5000, 0.5000, 0.5000)  12 H 2.77
H (0.0000, 0.0000, 0.5000)  2 Ge 1.96
H (0.0000, 0.5000, 0.0000)  2 Ge 1.96
H (0.5000, 0.0000, 0.0000)  2 Ge 1.96



Bottom line: *2*, by a margin of 222 meV/atom.



*1*
# Ge2BiH

Crystalline Ge2BiH at its relaxed geometry (PBE, Alexandria via LeMat-Bulk).

Output
**Total moment**: 0.0 μB per formula unit
**Fermi-level density of states**: 1.85 states/eV per cell
**V**: 20.58 Å³ per atom

abc: 4.8830 4.8830 4.8830
angles: 60.00 60.00 60.00
Closest atoms and distances in Å follow each position.
Positions (direct):
Ge (0.2500, 0.2500, 0.2500)  4 H 2.99, 4 Bi 2.99
Ge (0.7500, 0.7500, 0.7500)  4 H 2.99, 4 Bi 2.99
Bi (0.0000, 0.0000, 0.0000)  8 Ge 2.99
H (0.5000, 0.5000, 0.5000)  8 Ge 2.99



*2*
# Ge2BiH

Crystalline Ge2BiH at its relaxed geometry (PBE, Alexandria via LeMat-Bulk).

Output
**Total moment**: 0.0 μB per formula unit
**Fermi-level density of states**: 2.21 states/eV per cell
**V**: 21.57 Å³ per atom

abc: 7.3852 7.3852 7.3852
angles: 138.86 138.86 59.58
Closest atoms and distances in Å follow each position.
Positions (direct):
Ge (0.3750, 0.2198, 0.3448)  2 H 2.12
Ge (0.7802, 0.1250, 0.1552)  2 H 2.12
Ge (0.8750, 0.0302, 0.6552)  2 H 2.12
Ge (0.9698, 0.6250, 0.8448)  2 H 2.12
Bi (0.2500, 0.7500, 0.5000)  4 Ge 2.94
Bi (0.5000, 0.5000, 0.0000)  4 Ge 2.94
H (0.0000, 0.0000, 0.0000)  4 Ge 2.12
H (0.7500, 0.2500, 0.5000)  4 Ge 2.12



Bottom line: *2*, by a margin of 269 meV/atom.



*1*
# HfGe3Bi

Crystalline HfGe3Bi at its relaxed geometry (PBE, Alexandria via LeMat-Bulk).

Output
**Total moment**: 0.0 μB per formula unit
**Fermi-level density of states**: 6.89 states/eV per cell
**V**: 29.51 Å³ per atom

abc: 5.2840 5.2840 5.2840
angles: 90.00 90.00 90.00
Closest atoms and distances in Å follow each position.
Positions (direct):
Hf (0.0000, 0.0000, 0.0000)  12 Ge 3.74
Ge (0.0000, 0.5000, 0.5000)  2 Bi 2.64
Ge (0.5000, 0.0000, 0.5000)  2 Bi 2.64
Ge (0.5000, 0.5000, 0.0000)  2 Bi 2.64
Bi (0.5000, 0.5000, 0.5000)  6 Ge 2.64



*2*
# HfGe3Bi

Crystalline HfGe3Bi at its relaxed geometry (PBE, Alexandria via LeMat-Bulk).

Output
**Total moment**: 0.0 μB per formula unit
**Fermi-level density of states**: 2.92 states/eV per cell
**V**: 28.05 Å³ per atom

abc: 5.1959 5.1959 5.1959
angles: 90.00 90.00 90.00
Closest atoms and distances in Å follow each position.
Positions (direct):
Hf (0.0000, 0.0000, 0.0000)  6 Ge 2.60
Ge (0.0000, 0.0000, 0.5000)  2 Hf 2.60
Ge (0.0000, 0.5000, 0.0000)  2 Hf 2.60
Ge (0.5000, 0.0000, 0.0000)  2 Hf 2.60
Bi (0.5000, 0.5000, 0.5000)  12 Ge 3.67



Bottom line: *2*, by a margin of 947 meV/atom.



*1*
# Hf3GeBi

Crystalline Hf3GeBi at its relaxed geometry (PBE, Alexandria via LeMat-Bulk).

Output
**Total moment**: 0.0 μB per formula unit
**Fermi-level density of states**: 6.44 states/eV per cell
**V**: 30.37 Å³ per atom

abc: 5.3352 5.3352 5.3352
angles: 90.00 90.00 90.00
Closest atoms and distances in Å follow each position.
Positions (direct):
Hf (0.0000, 0.0000, 0.5000)  2 Bi 2.67
Hf (0.0000, 0.5000, 0.0000)  2 Bi 2.67
Hf (0.5000, 0.0000, 0.0000)  2 Bi 2.67
Ge (0.5000, 0.5000, 0.5000)  12 Hf 3.77
Bi (0.0000, 0.0000, 0.0000)  6 Hf 2.67



*2*
# Hf3GeBi

Crystalline Hf3GeBi at its relaxed geometry (PBE, Alexandria via LeMat-Bulk).

Output
**Total moment**: 0.0 μB per formula unit
**Fermi-level density of states**: 5.30 states/eV per cell
**V**: 25.20 Å³ per atom

abc: 5.0131 5.0131 5.0131
angles: 90.00 90.00 90.00
Closest atoms and distances in Å follow each position.
Positions (direct):
Hf (0.0000, 0.0000, 0.5000)  2 Ge 2.51
Hf (0.0000, 0.5000, 0.0000)  2 Ge 2.51
Hf (0.5000, 0.0000, 0.0000)  2 Ge 2.51
Ge (0.0000, 0.0000, 0.0000)  6 Hf 2.51
Bi (0.5000, 0.5000, 0.5000)  12 Hf 3.54



Bottom line: *2*, by a margin of 1117 meV/atom.



*1*
# HfGe2Bi2

Crystalline HfGe2Bi2 at its relaxed geometry (PBE, Alexandria via LeMat-Bulk).

Output
**Total moment**: 0.0 μB per formula unit
**Fermi-level density of states**: 3.79 states/eV per cell
**V**: 26.00 Å³ per atom

abc: 7.8551 7.8551 4.2143
angles: 90.00 90.00 90.00
Closest atoms and distances in Å follow each position.
Positions (direct):
Hf (0.0000, 0.0000, 0.0000)  4 Bi 2.97
Hf (0.5000, 0.5000, 0.0000)  4 Bi 2.97
Ge (0.1594, 0.3406, 0.5000)  6 Bi 2.96-3.24
Ge (0.3406, 0.8406, 0.5000)  6 Bi 2.96-3.24
Ge (0.6594, 0.1594, 0.5000)  6 Bi 2.96-3.24
Ge (0.8406, 0.6594, 0.5000)  6 Bi 2.96-3.24
Bi (0.1540, 0.6540, 0.0000)  6 Ge 2.96-3.24, 2 Hf 2.97
Bi (0.3460, 0.1540, 0.0000)  6 Ge 2.96-3.24, 2 Hf 2.97
Bi (0.6540, 0.8460, 0.0000)  6 Ge 2.96-3.24, 2 Hf 2.97
Bi (0.8460, 0.3460, 0.0000)  6 Ge 2.96-3.24, 2 Hf 2.97



*2*
# HfGe2Bi2

Crystalline HfGe2Bi2 at its relaxed geometry (PBE, Alexandria via LeMat-Bulk).

Output
**Total moment**: 0.0 μB per formula unit
**Fermi-level density of states**: 7.95 states/eV per cell
**V**: 24.35 Å³ per atom

abc: 7.3201 7.3201 4.5434
angles: 90.00 90.00 90.00
Closest atoms and distances in Å follow each position.
Positions (direct):
Hf (0.0000, 0.0000, 0.0000)  4 Ge 2.83
Hf (0.5000, 0.5000, 0.0000)  4 Ge 2.83
Ge (0.1397, 0.3603, 0.0000)  2 Hf 2.83, 1 Ge 2.89, 2 Bi 3.01
Ge (0.3603, 0.8603, 0.0000)  2 Hf 2.83, 1 Ge 2.89, 2 Bi 3.01
Ge (0.6397, 0.1397, 0.0000)  2 Hf 2.83, 1 Ge 2.89, 2 Bi 3.01
Ge (0.8603, 0.6397, 0.0000)  2 Hf 2.83, 1 Ge 2.89, 2 Bi 3.01
Bi (0.1703, 0.6703, 0.5000)  6 Ge 3.01-3.22
Bi (0.3297, 0.1703, 0.5000)  6 Ge 3.01-3.22
Bi (0.6703, 0.8297, 0.5000)  6 Ge 3.01-3.22
Bi (0.8297, 0.3297, 0.5000)  6 Ge 3.01-3.22



*3*
# HfGe2Bi2

Crystalline HfGe2Bi2 at its relaxed geometry (PBE, Alexandria via LeMat-Bulk).

Output
**Total moment**: 0.0 μB per formula unit
**Fermi-level density of states**: 3.99 states/eV per cell
**V**: 25.45 Å³ per atom

abc: 9.6564 9.6564 9.6564
angles: 157.91 157.91 31.44
Closest atoms and distances in Å follow each position.
Positions (direct):
Hf (0.0000, 0.0000, 0.0000)  8 Bi 3.17
Ge (0.2500, 0.7500, 0.5000)  4 Ge 2.62
Ge (0.7500, 0.2500, 0.5000)  4 Ge 2.62
Bi (0.4041, 0.4041, 0.0000)  4 Hf 3.17, 4 Ge 3.41
Bi (0.5959, 0.5959, 0.0000)  4 Hf 3.17, 4 Ge 3.41



Bottom line: *2*, by a margin of 90 meV/atom.



*1*
# Hg2GeBi

Crystalline Hg2GeBi at its relaxed geometry (PBE, Alexandria via LeMat-Bulk).

Output
**Total moment**: 0.0 μB per formula unit
**Fermi-level density of states**: 3.11 states/eV per cell
**V**: 25.57 Å³ per atom

abc: 5.2496 5.2496 5.2496
angles: 60.00 60.00 60.00
Closest atoms and distances in Å follow each position.
Positions (direct):
Hg (0.2500, 0.2500, 0.2500)  4 Bi 3.21, 4 Ge 3.21
Hg (0.7500, 0.7500, 0.7500)  4 Ge 3.21, 4 Bi 3.21
Ge (0.0000, 0.0000, 0.0000)  8 Hg 3.21
Bi (0.5000, 0.5000, 0.5000)  8 Hg 3.21



*2*
# Hg2GeBi

Crystalline Hg2GeBi at its relaxed geometry (PBE, Alexandria via LeMat-Bulk).

Output
**Total moment**: 0.0 μB per formula unit
**Fermi-level density of states**: 4.99 states/eV per cell
**V**: 26.72 Å³ per atom

abc: 11.7311 11.7311 11.7311
angles: 158.66 158.66 30.36
Closest atoms and distances in Å follow each position.
Positions (direct):
Hg (0.1142, 0.6250, 0.9892)  4 Hg 3.01-3.14, 2 Ge 3.20, 2 Bi 3.24
Hg (0.3750, 0.3642, 0.4892)  4 Hg 3.01-3.14, 2 Ge 3.20, 2 Bi 3.24
Hg (0.6358, 0.1250, 0.0108)  4 Hg 3.01-3.14, 2 Ge 3.20, 2 Bi 3.24
Hg (0.8750, 0.8858, 0.5108)  4 Hg 3.01-3.14, 2 Ge 3.20, 2 Bi 3.24
Ge (0.0000, 0.0000, 0.0000)  4 Bi 3.07, 4 Hg 3.20
Ge (0.7500, 0.2500, 0.5000)  4 Bi 3.07, 4 Hg 3.20
Bi (0.2500, 0.7500, 0.5000)  4 Ge 3.07, 4 Hg 3.24
Bi (0.5000, 0.5000, 0.0000)  4 Ge 3.07, 4 Hg 3.24



*3*
# Hg2GeBi

Crystalline Hg2GeBi at its relaxed geometry (PBE, Alexandria via LeMat-Bulk).

Output
**Total moment**: 0.0 μB per formula unit
**Fermi-level density of states**: 3.30 states/eV per cell
**V**: 26.96 Å³ per atom

abc: 11.6840 11.6840 11.6840
angles: 16.17 16.17 16.17
Closest atoms and distances in Å follow each position.
Positions (direct):
Hg (0.0814, 0.0814, 0.0814)  1 Ge 2.82
Hg (0.9186, 0.9186, 0.9186)  1 Ge 2.82
Ge (0.0000, 0.0000, 0.0000)  2 Hg 2.82
Bi (0.5000, 0.5000, 0.5000)  6 Bi 3.29, 6 Hg 3.51



Bottom line: *2*, by a margin of 49 meV/atom.



*1*
# HgGeBi3

Crystalline HgGeBi3 at its relaxed geometry (PBE, Alexandria via LeMat-Bulk).

Output
**Total moment**: 0.0 μB per formula unit
**Fermi-level density of states**: 4.02 states/eV per cell
**V**: 36.76 Å³ per atom

abc: 5.6859 5.6859 5.6859
angles: 90.00 90.00 90.00
Closest atoms and distances in Å follow each position.
Positions (direct):
Hg (0.0000, 0.0000, 0.0000)  6 Bi 2.84
Ge (0.5000, 0.5000, 0.5000)  12 Bi 4.02
Bi (0.0000, 0.0000, 0.5000)  2 Hg 2.84
Bi (0.0000, 0.5000, 0.0000)  2 Hg 2.84
Bi (0.5000, 0.0000, 0.0000)  2 Hg 2.84



*2*
# HgGeBi3

Crystalline HgGeBi3 at its relaxed geometry (PBE, Alexandria via LeMat-Bulk).

Output
**Total moment**: 0.0 μB per formula unit
**Fermi-level density of states**: 4.77 states/eV per cell
**V**: 35.10 Å³ per atom

abc: 5.5985 5.5985 5.5985
angles: 90.00 90.00 90.00
Closest atoms and distances in Å follow each position.
Positions (direct):
Hg (0.0000, 0.0000, 0.0000)  12 Bi 3.96
Ge (0.5000, 0.5000, 0.5000)  6 Bi 2.80
Bi (0.0000, 0.5000, 0.5000)  2 Ge 2.80
Bi (0.5000, 0.0000, 0.5000)  2 Ge 2.80
Bi (0.5000, 0.5000, 0.0000)  2 Ge 2.80



Bottom line: *2*, by a margin of 324 meV/atom.